No. 1
This record from Alexandria via LeMat-Bulk describes an optimized crystal structure of MnSiAgSe2. The functional is PBE.

The structure in POSCAR format:
```
MnSiAgSe2
1.0
5.2287 0.0000 0.0000
0.0000 5.2287 0.0000
0.0000 0.0000 4.6307
Mn Si Ag Se
1 1 1 2
Cartesian
0.0000 0.0000 0.0000
2.6143 2.6143 0.0000
2.6143 2.6143 2.3154
0.0000 2.6143 2.3154
2.6143 0.0000 2.3154
```

formation energy from raw total energies: 0.87 eV/atom
crystal system: tetragonal
SG: No. 123
total magnetic moment: 4.648 μB per formula unit
raw total energy: -20.08 eV for the cell shown

=====

No. 2
This record from Alexandria via LeMat-Bulk describes an optimized crystal structure of MnAgSnSe4. The functional is PBE.

The structure in POSCAR format:
```
MnAgSnSe4
1.0
-3.8694 4.0046 5.5215
3.8694 -4.0046 5.5215
3.8694 4.0046 -5.5215
Mn Ag Sn Se
2 2 2 8
Cartesian
-1.9347 2.0023 2.7608
1.9347 2.0023 2.7608
3.8694 2.0023 -1.5409
0.0000 2.0023 7.0624
0.0000 0.0000 0.0000
0.0000 4.0046 0.0000
1.9121 2.0023 0.2601
1.9573 -2.0023 5.7816
0.0000 0.2897 2.7380
3.8694 0.2897 2.7835
0.0000 3.7148 2.7380
3.8694 3.7148 2.7835
1.9121 6.0069 -0.2601
1.9573 2.0023 5.2614
```

formation energy from raw total energies: -0.35 eV/atom
crystal system: orthorhombic
SG: No. 74
total magnetic moment: 3.053 μB per formula unit
raw total energy: -64.79 eV for the cell shown

=====

No. 3
This record from Alexandria via LeMat-Bulk describes an optimized crystal structure of SrMn2AgSe. The functional is PBE.

The structure in POSCAR format:
```
SrMn2AgSe
1.0
4.9146 0.0000 0.0000
0.0000 4.9146 0.0000
0.0000 0.0000 6.1282
Sr Mn Ag Se
1 2 1 1
Cartesian
0.0000 0.0000 0.0000
0.0000 2.4573 3.0641
2.4573 0.0000 3.0641
0.0000 0.0000 3.0641
2.4573 2.4573 0.0000
```

formation energy from raw total energies: 0.38 eV/atom
crystal system: tetragonal
SG: No. 123
total magnetic moment: 8.974 μB per formula unit
raw total energy: -24.46 eV for the cell shown

=====

No. 4
This record from Alexandria via LeMat-Bulk describes an optimized crystal structure of Tb3MnAg3Se8. The functional is PBE.

The structure in POSCAR format:
```
Tb3MnAg3Se8
1.0
7.0227 -4.0772 0.0000
7.0227 4.0772 0.0000
-4.6840 0.0000 6.6627
Tb Mn Ag Se
3 1 3 8
Cartesian
0.0000 0.0000 0.0000
1.1694 2.0386 3.3313
1.1694 -2.0386 3.3313
7.0227 0.0000 0.0000
3.5114 2.0386 0.0000
3.5114 -2.0386 0.0000
4.6807 0.0000 3.3313
2.3014 0.0000 1.6864
0.2372 0.0000 5.1823
5.9604 1.8120 1.4818
3.4010 1.8120 5.1809
5.9604 -1.8120 1.4818
3.4010 -1.8120 5.1809
9.1243 0.0000 1.4803
7.0601 0.0000 4.9763
```

formation energy from raw total energies: -0.97 eV/atom
crystal system: monoclinic
SG: No. 12
total magnetic moment: 3.113 μB per formula unit
raw total energy: -74.05 eV for the cell shown

=====

No. 5
This record from Alexandria via LeMat-Bulk describes an optimized crystal structure of Mn2TcAgSe. The functional is PBE.

The structure in POSCAR format:
```
Mn2TcAgSe
1.0
4.8400 0.0000 0.0000
0.0000 4.8400 0.0000
0.0000 0.0000 4.9087
Mn Tc Ag Se
2 1 1 1
Cartesian
0.0000 2.4200 0.0000
2.4200 0.0000 0.0000
0.0000 0.0000 2.4544
0.0000 0.0000 0.0000
2.4200 2.4200 2.4544
```

formation energy from raw total energies: 1.53 eV/atom
crystal system: tetragonal
SG: No. 123
total magnetic moment: 9.273 μB per formula unit
raw total energy: -27.41 eV for the cell shown

=====

No. 6
This record from Alexandria via LeMat-Bulk describes an optimized crystal structure of MnTc2AgSe. The functional is PBE.

The structure in POSCAR format:
```
MnTc2AgSe
1.0
4.5650 0.0000 0.0000
0.0000 4.5650 0.0000
0.0000 0.0000 4.3266
Mn Tc Ag Se
1 2 1 1
Cartesian
0.0000 0.0000 0.0000
0.0000 2.2825 2.1633
2.2825 0.0000 2.1633
2.2825 2.2825 0.0000
0.0000 0.0000 2.1633
```

formation energy from raw total energies: 1.12 eV/atom
crystal system: tetragonal
SG: No. 123
total magnetic moment: 1.007 μB per formula unit
raw total energy: -30.61 eV for the cell shown

=====

No. 7
This record from Alexandria via LeMat-Bulk describes an optimized crystal structure of Ti2MnAgSe. The functional is PBE.

The structure in POSCAR format:
```
Ti2MnAgSe
1.0
4.9935 0.0000 0.0000
0.0000 4.9935 0.0000
0.0000 0.0000 5.0003
Ti Mn Ag Se
2 1 1 1
Cartesian
0.0000 2.4967 0.0000
2.4967 0.0000 0.0000
0.0000 0.0000 2.5001
2.4967 2.4967 0.0000
2.4967 2.4967 2.5001
```

formation energy from raw total energies: 1.27 eV/atom
crystal system: tetragonal
SG: No. 123
total magnetic moment: 7.747 μB per formula unit
raw total energy: -24.93 eV for the cell shown

=====

No. 8
This record from Alexandria via LeMat-Bulk describes an optimized crystal structure of Ti2MnAg2Se6. The functional is PBE.

The structure in POSCAR format:
```
Ti2MnAg2Se6
1.0
3.0728 -5.3932 0.0000
3.0728 5.3932 0.0000
-0.9639 0.0000 7.8155
Ti Mn Ag Se
2 1 2 6
Cartesian
3.0728 3.7712 0.0000
3.0728 -3.7712 0.0000
3.0728 0.0000 0.0000
2.5908 1.5527 3.9078
2.5908 -1.5527 3.9078
0.1584 0.0000 6.2354
2.1133 1.7657 1.4442
3.0684 1.7657 6.3713
2.1133 -1.7657 1.4442
3.0684 -1.7657 6.3713
5.0232 0.0000 1.5801
```

formation energy from raw total energies: -0.63 eV/atom
crystal system: monoclinic
SG: No. 12
total magnetic moment: 0.940 μB per formula unit
raw total energy: -58.54 eV for the cell shown

=====

No. 9
This record from Alexandria via LeMat-Bulk describes an optimized crystal structure of TiMnAgSe2. The functional is PBE.

The structure in POSCAR format:
```
TiMnAgSe2
1.0
4.9143 0.0000 0.0000
0.0000 4.9143 0.0000
0.0000 0.0000 4.8775
Ti Mn Ag Se
1 1 1 2
Cartesian
0.0000 0.0000 0.0000
0.0000 0.0000 2.4387
2.4571 2.4571 2.4387
0.0000 2.4571 0.0000
2.4571 0.0000 0.0000
```

formation energy from raw total energies: 0.24 eV/atom
crystal system: tetragonal
SG: No. 123
total magnetic moment: 3.860 μB per formula unit
raw total energy: -25.66 eV for the cell shown

=====

No. 10
This record from Alexandria via LeMat-Bulk describes an optimized crystal structure of MnTlAgSe3. The functional is PBE.

The structure in POSCAR format:
```
MnTlAgSe3
1.0
3.4218 -7.0598 0.0000
3.4218 7.0598 0.0000
0.0000 0.0000 6.6354
Mn Tl Ag Se
2 2 2 6
Cartesian
3.4218 6.2705 4.9765
3.4218 -6.2705 1.6588
3.4218 3.8459 1.6588
3.4218 -3.8459 4.9765
3.4218 1.2913 4.9765
3.4218 -1.2913 1.6588
3.4218 3.8950 4.9765
1.6305 0.0000 0.0000
1.6305 0.0000 3.3177
5.2132 0.0000 0.0000
5.2132 0.0000 3.3177
3.4218 -3.8950 1.6588
```

formation energy from raw total energies: -0.25 eV/atom
crystal system: orthorhombic
SG: No. 63
total magnetic moment: 3.103 μB per formula unit
raw total energy: -52.66 eV for the cell shown

=====

No. 11
This record from Alexandria via LeMat-Bulk describes an optimized crystal structure of Mn2Tl3AgSe6. The functional is PBE.

The structure in POSCAR format:
```
Mn2Tl3AgSe6
1.0
3.3791 -5.8780 0.0000
3.3791 5.8780 0.0000
-2.2418 0.0000 7.3147
Mn Tl Ag Se
2 3 1 6
Cartesian
3.3791 3.8941 0.0000
3.3791 -3.8941 0.0000
-1.1209 0.0000 3.6574
2.2582 1.8247 3.6574
2.2582 -1.8247 3.6574
3.3791 0.0000 0.0000
-0.0949 2.1512 5.9160
0.9517 0.0000 1.2678
-0.0949 -2.1512 5.9160
4.6113 2.1512 1.3987
3.5647 0.0000 6.0469
4.6113 -2.1512 1.3987
```

formation energy from raw total energies: -0.34 eV/atom
crystal system: monoclinic
SG: No. 12
total magnetic moment: 6.196 μB per formula unit
raw total energy: -53.29 eV for the cell shown

=====

No. 12
This record from Alexandria via LeMat-Bulk describes an optimized crystal structure of Tm3MnAg3Se8. The functional is PBE.

The structure in POSCAR format:
```
Tm3MnAg3Se8
1.0
6.9384 -4.0062 0.0000
6.9384 4.0062 0.0000
-4.6511 0.0000 6.6931
Tm Mn Ag Se
3 1 3 8
Cartesian
0.0000 0.0000 0.0000
3.4692 2.0031 0.0000
3.4692 -2.0031 0.0000
6.9384 0.0000 0.0000
1.1436 2.0031 3.3466
1.1436 -2.0031 3.3466
4.6129 0.0000 3.3466
2.3124 0.0000 1.5967
5.8940 1.8087 1.4916
0.1985 0.0000 5.2020
3.3318 1.8087 5.2015
5.8940 -1.8087 1.4916
9.0272 0.0000 1.4911
3.3318 -1.8087 5.2015
6.9133 0.0000 5.0965
```

formation energy from raw total energies: -0.97 eV/atom
crystal system: monoclinic
SG: No. 12
total magnetic moment: 3.076 μB per formula unit
raw total energy: -73.53 eV for the cell shown

=====

No. 13
This record from Alexandria via LeMat-Bulk describes an optimized crystal structure of UMn2Ag3Se6. The functional is PBE.

The structure in POSCAR format:
```
UMn2Ag3Se6
1.0
3.4477 -5.8622 0.0000
3.4477 5.8622 0.0000
-1.8335 0.0000 6.5987
U Mn Ag Se
1 2 3 6
Cartesian
0.0000 0.0000 0.0000
3.4477 2.0487 0.0000
3.4477 -2.0487 0.0000
2.5310 4.3277 3.2993
2.5310 0.0000 3.2993
2.5310 -4.3277 3.2993
1.1526 2.0181 1.5650
0.5768 0.0000 5.1799
1.1526 -2.0181 1.5650
3.9093 2.0181 5.0337
4.4852 0.0000 1.4188
3.9093 -2.0181 5.0337
```

formation energy from raw total energies: -0.45 eV/atom
crystal system: monoclinic
SG: No. 12
total magnetic moment: 8.862 μB per formula unit
raw total energy: -64.44 eV for the cell shown

=====

No. 14
This record from Alexandria via LeMat-Bulk describes an optimized crystal structure of UMnAgSe4. The functional is PBE.

The structure in POSCAR format:
```
UMnAgSe4
1.0
-4.0570 4.2958 4.9771
4.0570 -4.2958 4.9771
4.0570 4.2958 -4.9771
U Mn Ag Se
2 2 2 8
Cartesian
0.0000 0.0000 0.0000
0.0000 4.2958 0.0000
-2.0285 2.1479 2.4886
2.0285 2.1479 2.4886
4.0570 2.1479 -2.0193
0.0000 2.1479 6.9964
1.8460 2.1479 -0.1564
2.2110 -2.1479 4.8207
4.0570 0.4482 2.2609
0.0000 0.4482 2.7162
4.0570 3.8476 2.2609
0.0000 3.8476 2.7162
1.8460 6.4437 0.1564
2.2110 2.1479 5.1335
```

formation energy from raw total energies: -0.68 eV/atom
crystal system: orthorhombic
SG: No. 74
total magnetic moment: 6.004 μB per formula unit
raw total energy: -83.99 eV for the cell shown

=====

No. 15
This record from Alexandria via LeMat-Bulk describes an optimized crystal structure of Mn3VAg3Se8. The functional is PBE.

The structure in POSCAR format:
```
Mn3VAg3Se8
1.0
6.3928 -3.6926 0.0000
6.3928 3.6926 0.0000
-4.2563 0.0000 6.7111
Mn V Ag Se
3 1 3 8
Cartesian
0.0000 0.0000 0.0000
3.1964 1.8463 0.0000
3.1964 -1.8463 0.0000
6.3928 0.0000 0.0000
1.0682 1.8463 3.3555
1.0682 -1.8463 3.3555
4.2646 0.0000 3.3555
2.1323 0.0000 1.4664
5.3383 1.8280 1.4390
0.0244 0.0000 5.2760
3.1910 1.8280 5.2721
5.3383 -1.8280 1.4390
8.5049 0.0000 1.4351
3.1910 -1.8280 5.2721
6.3970 0.0000 5.2447
```

formation energy from raw total energies: -0.35 eV/atom
crystal system: monoclinic
SG: No. 12
total magnetic moment: 13.015 μB per formula unit
raw total energy: -78.32 eV for the cell shown

=====

No. 16
This record from Alexandria via LeMat-Bulk describes an optimized crystal structure of MnV2Ag2Se6. The functional is PBE.

The structure in POSCAR format:
```
MnV2Ag2Se6
1.0
2.9634 -5.2877 0.0000
2.9634 5.2877 0.0000
-1.7638 0.0000 7.7190
Mn V Ag Se
1 2 2 6
Cartesian
0.0000 0.0000 0.0000
2.9634 1.3458 0.0000
2.9634 -1.3458 0.0000
2.0815 3.6899 3.8595
2.0815 -3.6899 3.8595
2.0278 3.4520 1.3518
2.1352 3.4520 6.3672
1.8769 0.0000 1.6963
2.2861 0.0000 6.0227
2.0278 -3.4520 1.3518
2.1352 -3.4520 6.3672
```

formation energy from raw total energies: -0.43 eV/atom
crystal system: monoclinic
SG: No. 12
total magnetic moment: 0.990 μB per formula unit
raw total energy: -58.80 eV for the cell shown

=====

No. 17
This record from Alexandria via LeMat-Bulk describes an optimized crystal structure of YMnAgSe2. The functional is PBE.

The structure in POSCAR format:
```
YMnAgSe2
1.0
4.8476 0.0000 0.0000
0.0000 4.8476 0.0000
0.0000 0.0000 4.8414
Y Mn Ag Se
1 1 1 2
Cartesian
0.0000 0.0000 0.0000
2.4238 2.4238 2.4207
2.4238 2.4238 0.0000
0.0000 2.4238 2.4207
2.4238 0.0000 2.4207
```

formation energy from raw total energies: -0.33 eV/atom
crystal system: tetragonal
SG: No. 123
total magnetic moment: 3.413 μB per formula unit
raw total energy: -27.08 eV for the cell shown

=====

No. 18
This record from Alexandria via LeMat-Bulk describes an optimized crystal structure of Zr2MnAg2Se6. The functional is PBE.

The structure in POSCAR format:
```
Zr2MnAg2Se6
1.0
3.3304 -5.8549 0.0000
3.3304 5.8549 0.0000
-2.7897 0.0000 6.7918
Zr Mn Ag Se
2 1 2 6
Cartesian
3.3304 3.8760 0.0000
3.3304 -3.8760 0.0000
3.3304 0.0000 0.0000
1.9355 2.0116 3.3959
1.9355 -2.0116 3.3959
-0.5569 1.9426 5.2410
1.1499 0.0000 1.5179
-0.5569 -1.9426 5.2410
4.4279 1.9426 1.5508
2.7211 0.0000 5.2740
4.4279 -1.9426 1.5508
```

formation energy from raw total energies: -0.75 eV/atom
crystal system: monoclinic
SG: No. 12
total magnetic moment: 4.972 μB per formula unit
raw total energy: -61.16 eV for the cell shown

=====

No. 19
This record from Alexandria via LeMat-Bulk describes an optimized crystal structure of Mn2SiAg. The functional is PBE.

The structure in POSCAR format:
```
Mn2SiAg
1.0
2.7502 0.0000 0.0000
0.0000 4.3310 0.0000
0.0000 0.0000 4.7744
Mn Si Ag
2 1 1
Cartesian
0.0000 0.0000 0.0000
0.0000 2.1655 1.5848
1.3751 2.1655 4.2044
1.3751 0.0000 2.4513
```

formation energy from raw total energies: 0.17 eV/atom
crystal system: orthorhombic
SG: No. 25
total magnetic moment: 6.105 μB per formula unit
raw total energy: -25.95 eV for the cell shown

=====

No. 20
This record from Alexandria via LeMat-Bulk describes an optimized crystal structure of MnSiAg2. The functional is PBE.

The structure in POSCAR format:
```
MnSiAg2
1.0
4.5090 0.0000 0.0000
0.0000 4.5090 0.0000
0.0000 0.0000 6.3649
Mn Si Ag
2 2 4
Cartesian
0.0000 0.0000 0.0000
2.2545 2.2545 3.1825
0.0000 2.2545 1.5912
2.2545 0.0000 4.7737
0.0000 0.0000 3.1825
0.0000 2.2545 4.7737
2.2545 0.0000 1.5912
2.2545 2.2545 0.0000
```

relative energy among the computed polymorphs: 123.9 meV per atom
formation energy from raw total energies: 0.24 eV/atom
crystal system: tetragonal
SG: No. 119
total magnetic moment: 3.746 μB per formula unit
raw total energy: -38.67 eV for the cell shown